Density functional theory data (PBE-GGA) for a geometry-optimized BiP2AuS structure.

a b c (Å): 5.659 5.659 5.891
angles (deg): 108.21 108.21 42.17
Element x y z (fractional)
Bi 0.000 0.000 0.000
P 0.287 0.287 0.458
P 0.501 0.501 0.688
Au 0.679 0.679 0.524
S 0.280 0.280 0.094

magnetization	0.00	μB/f.u.
ΔE to the lowest computed polymorph	57.0	meV/atom
E_tot	-4.436	eV per atom
formation energy (no corrections)	-0.01	eV per atom